Density functional theory data (PBE with a Hubbard U) for MgCo2O3 after structural relaxation.

Results
The density of states at the Fermi level is 0.0 states/eV/f.u. The calculation puts the total magnetization at 12.0 μB per cell. The value obtained for the total energy is -0.2207 Ha/atom.

Unit cell a=5.250 b=5.250 c=5.240 alpha=99.49 beta=99.49 gamma=120.09
Each line ends with the local moment (μB).
Element x y z (fractional)
Mg (0.001, 0.999, 0.000)  0.01
Mg (0.666, 0.334, 0.000)  0.01
Co (0.833, 0.167, 0.500)  2.72
Co (0.333, 0.667, 0.000)  2.73
Co (0.169, 0.831, 0.500)  2.71
Co (0.498, 0.502, 0.500)  2.71
O (0.590, 0.923, 0.755)  0.15
O (0.077, 0.410, 0.245)  0.15
O (0.916, 0.586, 0.754)  0.15
O (0.253, 0.250, 0.754)  0.15
O (0.414, 0.084, 0.246)  0.15
O (0.750, 0.747, 0.246)  0.15